1.
DFT (GGA-PBE) results for crystalline BiPd2Rh at its relaxed geometry.

It has space group I-42d (No. 122), with a = 3.9041 Å, b = 3.9041 Å, c = 19.5802 Å, α = 90.00°, β = 90.00° and γ = 90.00°. Symmetry generates all atoms from Bi at (0.0000, 0.0000, 0.0000), Pd at (0.2405, 0.2500, 0.6250) and Rh at (0.0000, 0.0000, 0.5000).

The calculation puts the total energy at -85.24 eV for the cell shown. The total magnetization is 0.00 μB per formula unit. The formation energy is 0.077 eV per atom.

2.
DFT (GGA-PBE) results for crystalline BeCdCo2 at its relaxed geometry.

It has space group C2/m (No. 12), with a = 9.2720 Å, b = 2.7724 Å, c = 4.2381 Å, α = 90.00°, β = 117.05° and γ = 90.00°. Symmetry generates all atoms from Be at (0.0000, 0.0000, 0.0000), Cd at (0.0000, 0.5000, 0.5000) and Co at (0.2165, 0.5000, 0.2160).

The calculation puts the total energy at -35.86 eV for the cell shown. The total magnetization is 2.19 μB per formula unit. The formation energy is 0.230 eV per atom. For the excess energy over the best structure of this formula in the dataset, the calculation gives 13.31 kJ per mole of atoms.

3.
DFT (GGA-PBE) results for crystalline NbMoPd3 at its relaxed geometry.

It has space group Pm-3m (No. 221), with a = 4.7385 Å, b = 4.7385 Å, c = 4.7385 Å, α = 90.00°, β = 90.00° and γ = 90.00°. Symmetry generates all atoms from Nb at (0.0000, 0.0000, 0.0000), Mo at (0.5000, 0.5000, 0.5000) and Pd at (0.0000, 0.5000, 0.5000).

The calculation puts the total energy at -30.04 eV for the cell shown. The total magnetization is 2.04 μB per formula unit. The formation energy is 1.288 eV per atom. For the excess energy over the best structure of this formula in the dataset, the calculation gives 0.00 kJ per mole of atoms.